Record 1
Density functional theory data (PBE) for crystalline Sm2DyTm3As6 at its relaxed geometry.

Properties
Energy = -6.125 eV per atom
ρ = 7.9 g/cm3
Crystal system = monoclinic
Formation energy = -1.51 eV/atom
Total moment = 0.0 μB per formula unit

```
data_Sm2DyTm3As6
_chemical_formula_sum 'Sm4 Dy2 Tm6 As12'
_space_group_name_H-M_alt 'C 1 2/m 1'
_space_group_IT_number 12
_space_group_name_Hall '-C 2y'
_cell_length_a 17.9676
_cell_length_b 4.1256
_cell_length_c 8.2435
_cell_angle_alpha 90.00
_cell_angle_beta 103.20
_cell_angle_gamma 90.00
loop_
_atom_site_label
_atom_site_fract_x
_atom_site_fract_y
_atom_site_fract_z
Sm1 0.1661 0.0000 0.3325
Dy1 0.0000 0.5000 0.0000
Tm1 0.0000 0.5000 0.5000
Tm2 0.1670 0.0000 0.8337
As1 0.0024 0.0000 0.7490
As2 0.1646 0.5000 0.5886
As3 0.1672 0.5000 0.0769
```


Record 2
Density functional theory data (PBE) for crystalline LaTcSe2 at its relaxed geometry.

Properties
Energy = -6.314 eV per atom
ρ = 6.8 g/cm3
Crystal system = orthorhombic
Raw formation energy = -0.748 eV/atom
Total moment = 0.0 μB per formula unit

```
data_LaTcSe2
_chemical_formula_sum 'La2 Tc2 Se4'
_space_group_name_H-M_alt 'A m m 2'
_space_group_IT_number 38
_space_group_name_Hall 'A 2 -2'
_cell_length_a 4.5683
_cell_length_b 3.8605
_cell_length_c 10.9964
_cell_angle_alpha 90.00
_cell_angle_beta 90.00
_cell_angle_gamma 90.00
loop_
_atom_site_label
_atom_site_fract_x
_atom_site_fract_y
_atom_site_fract_z
La1 0.0000 0.0000 0.0000
Tc1 0.5000 0.0000 0.3424
Se1 0.0000 0.0000 0.2782
Se2 0.5000 0.0000 0.5693
```


Record 3
Density functional theory data (PBE) for crystalline AcHoScSn at its relaxed geometry.

Properties
Energy = -4.892 eV per atom
ρ = 8.2 g/cm3
Crystal system = cubic
Formation energy = -0.14 eV/atom
Total moment = 0.0 μB per formula unit

```
data_AcHoScSn
_chemical_formula_sum 'Ac4 Ho4 Sc4 Sn4'
_space_group_name_H-M_alt 'F -4 3 m'
_space_group_IT_number 216
_space_group_name_Hall 'F -4 2 3'
_cell_length_a 7.6663
_cell_length_b 7.6663
_cell_length_c 7.6663
_cell_angle_alpha 90.00
_cell_angle_beta 90.00
_cell_angle_gamma 90.00
loop_
_atom_site_label
_atom_site_fract_x
_atom_site_fract_y
_atom_site_fract_z
Ac1 0.0000 0.0000 0.0000
Ho1 0.2500 0.2500 0.7500
Sc1 0.2500 0.2500 0.2500
Sn1 0.0000 0.0000 0.5000
```


Q: Which formula does entry 2 have?
A: LaTcSe2


Q: Look up the energy of the first one.
A: -6.125 eV per atom


Q: Among the records above, which one has the lowest energy?
A: LaTcSe2


Q: Which value of ρ does entry 1 give?
A: 7.9 g/cm3